! PBE TiAlGa2, optimized geometry; values from VASP
&SYSTEM
  ibrav = 0, nat = 4, ntyp = 3
/
ATOMIC_SPECIES
Al 26.98 Al.upf
Ga 69.72 Ga.upf
Ti 47.87 Ti.upf
CELL_PARAMETERS angstrom
-0.7408 -1.2991 -3.1533
0.9703 -3.1738 1.0796
-5.0863 -1.0073 1.6100
ATOMIC_POSITIONS angstrom
Al 0.1147 -2.2364 -1.0369
Ga -3.7822 -0.7491 1.1972
Ga -1.3040 -0.2583 0.4128
Ti -2.4284 -2.7401 -0.2319
! Uncorrected energy: -4.614 eV/atom
! Energy relative to the elements: -18.5 kJ/mol of atoms
! Magnetization: 0.07 μB per atom
! Symmetry: No. 123
! Volume: 66 Å³ per cell

=====

! PBE La5Tb2Sm4, optimized geometry; values from VASP
&SYSTEM
  ibrav = 0, nat = 11, ntyp = 3
/
ATOMIC_SPECIES
La 138.91 La.upf
Tb 158.93 Tb.upf
Sm 150.36 Sm.upf
CELL_PARAMETERS angstrom
-3.5643 0.0228 0.3061
-0.7665 -2.2036 -8.7598
0.2527 -11.3169 3.7861
ATOMIC_POSITIONS angstrom
La -0.3622 -4.5595 -3.8774
La -0.1069 -2.3055 -1.0723
La -0.3832 -1.1018 -4.3799
La -0.4069 -11.2149 -3.9014
La -0.1516 -8.9610 -1.0964
Tb 0.1179 -7.3125 1.9187
Tb -0.6317 -6.2080 -6.8925
Sm -2.1919 -7.7725 -4.0376
Sm -1.6782 -10.4141 2.1407
Sm -1.8862 -5.7251 -0.6301
Sm -2.3999 -3.0835 -6.8083
! Uncorrected energy: -4.721 eV/atom
! Energy relative to the elements: 7.4 kJ/mol of atoms
! Excess energy over the best structure of this formula in the dataset: 3.5 kJ/mol of formula units
! Magnetization: 0.00 μB per atom
! Symmetry: No. 10
! Volume: 386 Å³ per cell

=====

! PBE SrBeTc2, optimized geometry; values from VASP
&SYSTEM
  ibrav = 0, nat = 4, ntyp = 3
/
ATOMIC_SPECIES
Sr 87.62 Sr.upf
Tc 98.00 Tc.upf
Be 9.01 Be.upf
CELL_PARAMETERS angstrom
9.3303 0.0332 0.0195
8.8638 2.9135 0.0195
8.8638 1.4356 2.5354
ATOMIC_POSITIONS angstrom
Sr 20.4187 3.3071 1.9427
Tc 26.6680 4.3193 2.5373
Tc 6.6299 1.0738 0.6308
Be 13.9279 2.2558 1.3252
! Uncorrected energy: -5.773 eV/atom
! Energy relative to the elements: 73.5 kJ/mol of atoms
! Magnetization: 0.00 μB per atom
! Symmetry: No. 160
! Volume: 68 Å³ per cell

=====

! PBE PmGdGa2, optimized geometry; values from VASP
&SYSTEM
  ibrav = 0, nat = 4, ntyp = 3
/
ATOMIC_SPECIES
Gd 157.25 Gd.upf
Ga 69.72 Ga.upf
Pm 145.00 Pm.upf
CELL_PARAMETERS angstrom
5.1482 0.0000 0.0000
2.5741 4.4584 0.0000
2.5741 1.4861 4.2035
ATOMIC_POSITIONS angstrom
Gd 5.1482 2.9723 2.1017
Ga 2.5741 1.4861 1.0509
Ga 7.7222 4.4584 3.1526
Pm 0.0000 0.0000 0.0000
! Uncorrected energy: -6.791 eV/atom
! Energy relative to the elements: -55.0 kJ/mol of atoms
! Excess energy over the best structure of this formula in the dataset: 4.6 kJ/mol of formula units
! Magnetization: 1.76 μB per atom
! Symmetry: No. 225
! Volume: 96 Å³ per cell

=====

! PBE Pm8Nd3Sm3, optimized geometry; values from VASP
&SYSTEM
  ibrav = 0, nat = 14, ntyp = 3
/
ATOMIC_SPECIES
Pm 145.00 Pm.upf
Nd 144.24 Nd.upf
Sm 150.36 Sm.upf
CELL_PARAMETERS angstrom
-2.4372 3.2401 -4.0866
-3.5188 -6.1938 -6.8701
-8.2706 3.7990 3.8867
ATOMIC_POSITIONS angstrom
Pm -6.6826 3.5462 -1.3156
Pm -7.5440 -2.7009 -5.7543
Pm -4.5659 -0.9049 -6.1071
Pm -9.6607 1.7502 -0.9629
Pm -9.3521 0.0956 -6.5140
Pm -4.8745 0.7497 -0.5559
Pm -10.3368 2.1664 -4.2849
Pm -3.8898 -1.3210 -2.7850
Nd -7.1133 0.4227 -3.5350
Nd -4.2751 2.1350 -3.8718
Nd -9.9515 -1.2896 -3.1981
Sm -1.2186 1.6200 -2.0433
Sm -4.3887 -4.3643 -4.9007
Sm -7.4007 1.9696 1.9174
! Uncorrected energy: -4.643 eV/atom
! Energy relative to the elements: 10.1 kJ/mol of atoms
! Magnetization: 0.00 μB per atom
! Symmetry: No. 71
! Volume: 487 Å³ per cell

=====

! PBE DyErH, optimized geometry; values from VASP
&SYSTEM
  ibrav = 0, nat = 3, ntyp = 3
/
ATOMIC_SPECIES
H 1.01 H.upf
Er 167.26 Er.upf
Dy 162.50 Dy.upf
CELL_PARAMETERS angstrom
3.3357 0.0000 0.0000
0.0000 3.3357 0.0000
-1.6678 -1.6678 5.9909
ATOMIC_POSITIONS angstrom
H 0.0000 0.0000 2.6293
Er 0.0000 0.0000 0.4310
Dy 1.6678 1.6678 2.9307
! Uncorrected energy: -4.290 eV/atom
! Excess energy over the best structure of this formula in the dataset: 36.8 kJ/mol of formula units
! Magnetization: 0.00 μB per atom
! Symmetry: No. 107
! Volume: 67 Å³ per cell